The following is a DFT calculation (PBE with a Hubbard U) of crystalline PuFeCuO5 at its relaxed geometry.

Output
Final energy ... -7.77 eV per atom

Cell and atoms, written as POSCAR:
```
PuFeCuO5
1.0
5.925 -0.390 -0.257
-2.102 5.553 -0.257
-1.870 -2.526 7.500
Pu Fe Cu O
2 2 2 10
direct
0.000 0.000 0.500
0.000 0.000 0.000
0.283 0.717 0.250
0.717 0.283 0.750
0.720 0.280 0.250
0.280 0.720 0.750
0.087 0.913 0.250
0.913 0.087 0.750
0.000 0.347 0.149
0.000 0.653 0.851
0.653 0.000 0.351
0.347 0.000 0.649
0.797 0.625 0.432
0.203 0.375 0.568
0.375 0.203 0.068
0.625 0.797 0.932
```